Record 1
# Li2GaAu PBE optimized geometry
data_Li2GaAu
_chemical_formula_sum 'Li2 Ga1 Au1'
_cell_length_a 3.9724
_cell_length_b 3.9724
_cell_length_c 3.9322
_cell_angle_alpha 90.00
_cell_angle_beta 90.00
_cell_angle_gamma 90.00
_symmetry_space_group_name_H-M 'P 4/m m m'
_symmetry_Int_Tables_number 123
_symmetry_space_group_name_Hall '-P 4 2'
loop_
_atom_site_label
_atom_site_fract_x
_atom_site_fract_y
_atom_site_fract_z
Li1 0.0000 0.5000 0.0000
Ga1 0.0000 0.0000 0.5000
Au1 0.5000 0.5000 0.5000
# Spin magnetization: 0.00 μB per cell
# DOS(E_F): 0.059 states/eV per atom
# Raw total energy: -2.976 eV per atom

---

Record 2
# Li3GaAu3 PBE optimized geometry
data_Li3GaAu3
_chemical_formula_sum 'Li12 Ga4 Au12'
_cell_length_a 7.0921
_cell_length_b 8.9865
_cell_length_c 7.4361
_cell_angle_alpha 90.00
_cell_angle_beta 93.17
_cell_angle_gamma 90.00
_symmetry_space_group_name_H-M 'C 1 2/m 1'
_symmetry_Int_Tables_number 12
_symmetry_space_group_name_Hall '-C 2y'
loop_
_atom_site_label
_atom_site_fract_x
_atom_site_fract_y
_atom_site_fract_z
Li1 0.0000 0.1476 0.0000
Li2 0.0000 0.2388 0.5000
Li3 0.1169 0.5000 0.8539
Ga1 0.1801 0.5000 0.4464
Au1 0.0517 0.0000 0.3015
Au2 0.2236 0.2980 0.1994
# Spin magnetization: 0.00 μB per cell
# DOS(E_F): 0.164 states/eV per atom
# Polymorph energy (0 for the lowest one): 41 meV/atom

---

Record 3
# Li3Ga2Au4 PBE optimized geometry
data_Li3Ga2Au4
_chemical_formula_sum 'Li6 Ga4 Au8'
_cell_length_a 10.0951
_cell_length_b 4.4502
_cell_length_c 8.3332
_cell_angle_alpha 90.00
_cell_angle_beta 126.71
_cell_angle_gamma 90.00
_symmetry_space_group_name_H-M 'C 1 2/m 1'
_symmetry_Int_Tables_number 12
_symmetry_space_group_name_Hall '-C 2y'
loop_
_atom_site_label
_atom_site_fract_x
_atom_site_fract_y
_atom_site_fract_z
Li1 0.0000 0.0000 0.0000
Li2 0.0172 0.0000 0.6787
Ga1 0.1684 0.5000 0.3066
Au1 0.1471 0.5000 0.9582
Au2 0.1747 0.5000 0.6300
# Spin magnetization: 0.00 μB per cell
# DOS(E_F): 0.350 states/eV per atom
# Polymorph energy (0 for the lowest one): 7 meV/atom

---

Record 4
# Li2GaAu PBE optimized geometry
data_Li2GaAu
_chemical_formula_sum 'Li8 Ga4 Au4'
_cell_length_a 7.3768
_cell_length_b 7.3768
_cell_length_c 5.0999
_cell_angle_alpha 90.00
_cell_angle_beta 90.00
_cell_angle_gamma 90.00
_symmetry_space_group_name_H-M 'I -4 2 d'
_symmetry_Int_Tables_number 122
_symmetry_space_group_name_Hall 'I -4 2bw'
loop_
_atom_site_label
_atom_site_fract_x
_atom_site_fract_y
_atom_site_fract_z
Li1 0.2347 0.2500 0.1250
Ga1 0.0000 0.0000 0.5000
Au1 0.0000 0.0000 0.0000
# Spin magnetization: 0.00 μB per cell
# DOS(E_F): 0.255 states/eV per atom
# Raw total energy: -2.775 eV per atom

---

Record 5
# Li2GaAu PBE optimized geometry
data_Li2GaAu
_chemical_formula_sum 'Li6 Ga3 Au3'
_cell_length_a 2.9414
_cell_length_b 2.9414
_cell_length_c 26.4458
_cell_angle_alpha 90.00
_cell_angle_beta 90.00
_cell_angle_gamma 120.00
_symmetry_space_group_name_H-M 'R 3 m'
_symmetry_Int_Tables_number 160
_symmetry_space_group_name_Hall 'R 3 -2"'
loop_
_atom_site_label
_atom_site_fract_x
_atom_site_fract_y
_atom_site_fract_z
Li1 0.0000 0.0000 0.0000
Li2 0.0000 0.0000 0.1712
Ga1 0.0000 0.0000 0.4191
Au1 0.0000 0.0000 0.5855
# Spin magnetization: 0.00 μB per cell
# DOS(E_F): 0.404 states/eV per atom
# Raw total energy: -2.822 eV per atom

---

Record 6
# LiGa3Au2 PBE optimized geometry
data_LiGa3Au2
_chemical_formula_sum 'Li2 Ga6 Au4'
_cell_length_a 3.7255
_cell_length_b 8.4909
_cell_length_c 6.8451
_cell_angle_alpha 90.00
_cell_angle_beta 90.00
_cell_angle_gamma 90.00
_symmetry_space_group_name_H-M 'P m c 21'
_symmetry_Int_Tables_number 26
_symmetry_space_group_name_Hall 'P 2c -2'
loop_
_atom_site_label
_atom_site_fract_x
_atom_site_fract_y
_atom_site_fract_z
Li1 0.0000 0.0894 0.0000
Ga1 0.0000 0.3091 0.5972
Ga2 0.5000 0.1828 0.3074
Ga3 0.5000 0.3899 0.9148
Au1 0.0000 0.3967 0.2170
Au2 0.5000 0.1038 0.6959
# Spin magnetization: 0.00 μB per cell
# DOS(E_F): 0.334 states/eV per atom
# Polymorph energy (0 for the lowest one): 5 meV/atom

---

Record 7
# LiGaAu5 PBE optimized geometry
data_LiGaAu5
_chemical_formula_sum 'Li4 Ga4 Au20'
_cell_length_a 9.1973
_cell_length_b 9.0616
_cell_length_c 6.8850
_cell_angle_alpha 90.00
_cell_angle_beta 117.06
_cell_angle_gamma 90.00
_symmetry_space_group_name_H-M 'C 1 2/c 1'
_symmetry_Int_Tables_number 15
_symmetry_space_group_name_Hall '-C 2yc'
loop_
_atom_site_label
_atom_site_fract_x
_atom_site_fract_y
_atom_site_fract_z
Li1 0.2500 0.2500 0.0000
Ga1 0.0000 0.2031 0.2500
Au1 0.0000 0.0756 0.7500
Au2 0.0547 0.3616 0.5920
Au3 0.2487 0.4075 0.3716
# Spin magnetization: 0.00 μB per cell
# DOS(E_F): 0.350 states/eV per atom
# Polymorph energy (0 for the lowest one): 62 meV/atom

---

Record 8
# Li3GaAu4 PBE optimized geometry
data_Li3GaAu4
_chemical_formula_sum 'Li6 Ga2 Au8'
_cell_length_a 13.0814
_cell_length_b 4.5186
_cell_length_c 4.5175
_cell_angle_alpha 90.00
_cell_angle_beta 110.10
_cell_angle_gamma 90.00
_symmetry_space_group_name_H-M 'C 1 2/m 1'
_symmetry_Int_Tables_number 12
_symmetry_space_group_name_Hall '-C 2y'
loop_
_atom_site_label
_atom_site_fract_x
_atom_site_fract_y
_atom_site_fract_z
Li1 0.0000 0.0000 0.0000
Li2 0.2484 0.5000 0.7486
Ga1 0.0000 0.5000 0.5000
Au1 0.1287 0.0000 0.6292
Au2 0.1287 0.5000 0.1302
# Spin magnetization: 0.00 μB per cell
# DOS(E_F): 0.344 states/eV per atom
# Raw total energy: -3.219 eV per atom

---

Record 9
# LiGa3Au4 PBE optimized geometry
data_LiGa3Au4
_chemical_formula_sum 'Li2 Ga6 Au8'
_cell_length_a 9.9812
_cell_length_b 5.4541
_cell_length_c 5.0539
_cell_angle_alpha 90.00
_cell_angle_beta 90.00
_cell_angle_gamma 90.00
_symmetry_space_group_name_H-M 'P m n 21'
_symmetry_Int_Tables_number 31
_symmetry_space_group_name_Hall 'P 2ac -2'
loop_
_atom_site_label
_atom_site_fract_x
_atom_site_fract_y
_atom_site_fract_z
Li1 0.0000 0.1412 0.0000
Ga1 0.0000 0.8453 0.4980
Ga2 0.2472 0.8460 0.9162
Au1 0.0000 0.3311 0.4941
Au2 0.0000 0.6550 0.9905
Au3 0.2441 0.3370 0.9200
# Spin magnetization: 0.00 μB per cell
# DOS(E_F): 0.257 states/eV per atom
# Raw total energy: -3.305 eV per atom

---

Record 10
# LiGa3Au PBE optimized geometry
data_LiGa3Au
_chemical_formula_sum 'Li1 Ga3 Au1'
_cell_length_a 5.0546
_cell_length_b 5.0546
_cell_length_c 5.0546
_cell_angle_alpha 90.00
_cell_angle_beta 90.00
_cell_angle_gamma 90.00
_symmetry_space_group_name_H-M 'P m -3 m'
_symmetry_Int_Tables_number 221
_symmetry_space_group_name_Hall '-P 4 2 3'
loop_
_atom_site_label
_atom_site_fract_x
_atom_site_fract_y
_atom_site_fract_z
Li1 0.0000 0.0000 0.0000
Ga1 0.0000 0.5000 0.5000
Au1 0.5000 0.5000 0.5000
# Spin magnetization: 0.00 μB per cell
# DOS(E_F): 0.752 states/eV per atom
# Polymorph energy (0 for the lowest one): 408 meV/atom

---

Record 11
# LiGa8Au2 PBE optimized geometry
data_LiGa8Au2
_chemical_formula_sum 'Li2 Ga16 Au4'
_cell_length_a 12.7773
_cell_length_b 6.9148
_cell_length_c 5.0924
_cell_angle_alpha 90.00
_cell_angle_beta 91.89
_cell_angle_gamma 90.00
_symmetry_space_group_name_H-M 'C 1 2/m 1'
_symmetry_Int_Tables_number 12
_symmetry_space_group_name_Hall '-C 2y'
loop_
_atom_site_label
_atom_site_fract_x
_atom_site_fract_y
_atom_site_fract_z
Li1 0.0000 0.0000 0.0000
Ga1 0.0698 0.3025 0.7010
Ga2 0.1106 0.5000 0.1990
Ga3 0.2315 0.0000 0.2673
Au1 0.1851 0.0000 0.7631
# Spin magnetization: 0.00 μB per cell
# DOS(E_F): 0.266 states/eV per atom
# Raw total energy: -3.057 eV per atom